No. 1
Material: ZrNp2Tl3Te6
Method: DFT, PBE
State: optimized geometry

Properties
N(E_F), states/eV per cell: 22.48
Symmetry: C2/m
Crystal system: monoclinic
Electronic total energy, eV for the cell shown: -67.44
Density, g cm⁻³: 7.92
E_form (uncorrected), meV/atom: -588
Spin magnetization, μB per cell: 9.00

Cell lengths 7.5314, 7.5314, 8.6565 Å; angles 98.34, 98.34, 119.91 degrees
Last column: nearest neighbours and their distance in Å.
Positions (direct):
Zr 0.0000 0.0000 0.0000  6 Te 2.98-3.00
Np 0.3344 0.6656 0.0000  6 Te 3.11-3.12
Np 0.6656 0.3344 0.0000  6 Te 3.11-3.12
Tl 0.1714 0.8286 0.5000  6 Te 3.43-3.50
Tl 0.8286 0.1714 0.5000  6 Te 3.43-3.50
Tl 0.5000 0.5000 0.5000  6 Te 3.43-3.52
Te 0.9299 0.6100 0.7884  1 Zr 2.98, 2 Np 3.11
Te 0.7531 0.7531 0.2159  1 Zr 3.00, 2 Np 3.12
Te 0.0701 0.3900 0.2116  1 Zr 2.98, 2 Np 3.11
Te 0.6100 0.9299 0.7884  1 Zr 2.98, 2 Np 3.11
Te 0.2469 0.2469 0.7841  1 Zr 3.00, 2 Np 3.12
Te 0.3900 0.0701 0.2116  1 Zr 2.98, 2 Np 3.11

No. 2
Material: IrRuSe2
Method: DFT, PBE
State: optimized geometry

Properties
N(E_F), states/eV per cell: 3.30
Symmetry: P4mm
Distance to the lowest polymorph of the same formula, meV/atom: 85
Crystal system: tetragonal
Electronic total energy, eV for the cell shown: -24.57
Density, g cm⁻³: 10.02
E_form (uncorrected), meV/atom: 134
Spin magnetization, μB per cell: 0.00

Cell lengths 3.0392, 3.0392, 8.0983 Å; angles 90.00, 90.00, 90.00 degrees
Last column: nearest neighbours and their distance in Å.
Positions (direct):
Ir 0.0000 0.0000 0.4945  4 Se 2.52
Ru 0.5000 0.5000 0.7556  4 Se 2.52
Se 0.0000 0.0000 0.9170  4 Ru 2.52
Se 0.5000 0.5000 0.3330  4 Ir 2.52

- The lowest electronic total energy belongs to which entry?
  ZrNp2Tl3Te6

- Which of these has the lowest spin magnetization?
  IrRuSe2

- What is the spin magnetization in the second record?
  0.00 μB per cell

- N(E_F) of number 1 (ZrNp2Tl3Te6)?
  22.48 states/eV per cell